Entry 1:
First-principles (GGA-PBE) data for LiScSiPd after structural relaxation, as listed in the Open Quantum Materials Database. Values from VASP.

Values from the calculation:
ΔE to the lowest computed polymorph (eV/atom): 0.1730

Geometry as Quantum ESPRESSO input:
```
&SYSTEM
  ibrav = 0, nat = 4, ntyp = 4
/
ATOMIC_SPECIES
Pd 106.42 Pd.upf
Li 6.94 Li.upf
Si 28.09 Si.upf
Sc 44.96 Sc.upf
CELL_PARAMETERS angstrom
2.978 0.213 3.345
-0.808 2.605 3.558
-0.950 -1.857 3.969
ATOMIC_POSITIONS crystal
Pd 0.000 0.000 0.000
Li 0.750 0.750 0.750
Si 0.500 0.500 0.500
Sc 0.250 0.250 0.250
```



Entry 2:
First-principles (GGA-PBE) data for LiScSiPd after structural relaxation, as listed in the Open Quantum Materials Database. Values from VASP.

Values from the calculation:
ΔE to the lowest computed polymorph (eV/atom): 0.0006

Geometry as Quantum ESPRESSO input:
```
&SYSTEM
  ibrav = 0, nat = 4, ntyp = 4
/
ATOMIC_SPECIES
Li 6.94 Li.upf
Pd 106.42 Pd.upf
Si 28.09 Si.upf
Sc 44.96 Sc.upf
CELL_PARAMETERS angstrom
0.000 3.100 3.100
3.100 0.000 3.100
3.100 3.100 0.000
ATOMIC_POSITIONS crystal
Li 0.750 0.750 0.750
Pd 0.250 0.250 0.250
Si 0.500 0.500 0.500
Sc 0.000 0.000 0.000
```



Entry 3:
First-principles (GGA-PBE) data for LiScSiPd after structural relaxation, as listed in the Open Quantum Materials Database. Values from VASP.

Values from the calculation:
ΔE to the lowest computed polymorph (eV/atom): 0.0707

Geometry as Quantum ESPRESSO input:
```
&SYSTEM
  ibrav = 0, nat = 4, ntyp = 4
/
ATOMIC_SPECIES
Si 28.09 Si.upf
Sc 44.96 Sc.upf
Li 6.94 Li.upf
Pd 106.42 Pd.upf
CELL_PARAMETERS angstrom
0.000 3.108 3.108
3.108 0.000 3.108
3.108 3.108 0.000
ATOMIC_POSITIONS crystal
Si 0.250 0.250 0.250
Sc 0.000 0.000 0.000
Li 0.750 0.750 0.750
Pd 0.500 0.500 0.500
```



ΔE to the lowest computed polymorph of number 1 (LiScSiPd)?
0.1730 eV/atom



The highest ΔE to the lowest computed polymorph belongs to which entry?
number 1